No. 1
DFT (GGA-PBE) results for Tm2Tl3 after structural relaxation.

a b c (Å): 12.427 3.690 12.193
angles (deg): 90.00 90.00 90.00
Space group Pnma (No. 62)
Symmetry-distinct sites (fractional):
Tm (0.008, 0.250, 0.194) (multiplicity 4)
Tm (0.188, 0.250, 0.585) (multiplicity 4)
Tl (0.071, 0.750, 0.401) (multiplicity 4)
Tl (0.129, 0.250, 0.969) (multiplicity 4)
Tl (0.249, 0.750, 0.786) (multiplicity 4)

Properties
uncorrected energy: -3.37 eV per atom



No. 2
DFT (GGA-PBE) results for BaLiMg2Sb after structural relaxation.

a b c (Å): 5.201 5.201 5.349
angles (deg): 90.00 90.00 90.00
Space group P4/mmm (No. 123)
Symmetry-distinct sites (fractional):
Ba (0.000, 0.000, 0.000) (multiplicity 1)
Li (0.500, 0.500, 0.500) (multiplicity 1)
Mg (0.000, 0.500, 0.500) (multiplicity 2)
Sb (0.500, 0.500, 0.000) (multiplicity 1)

Properties
energy relative to the elements, uncorrected: -0.22 eV/atom



No. 3
DFT (GGA-PBE) results for Y2ReB after structural relaxation.

a b c (Å): 9.680 9.680 4.049
angles (deg): 90.00 90.00 90.00
Space group I-42d (No. 122)
Symmetry-distinct sites (fractional):
Y (0.081, 0.750, 0.125) (multiplicity 8)
Re (0.000, 0.000, 0.500) (multiplicity 4)
B (0.000, 0.000, 0.000) (multiplicity 4)

Properties
uncorrected energy: -7.84 eV per atom



No. 4
DFT (GGA-PBE) results for B5C7 after structural relaxation.

a b c (Å): 11.995 2.545 5.386
angles (deg): 90.00 105.06 90.00
Space group Cm (No. 8)
Symmetry-distinct sites (fractional):
B (0.000, 0.000, 0.000) (multiplicity 2)
B (0.008, 0.000, 0.487) (multiplicity 2)
B (0.103, 0.500, 0.997) (multiplicity 2)
B (0.200, 0.500, 0.375) (multiplicity 2)
B (0.344, 0.000, 0.660) (multiplicity 2)
C (0.112, 0.500, 0.546) (multiplicity 2)
C (0.189, 0.500, 0.824) (multiplicity 2)
C (0.266, 0.000, 0.341) (multiplicity 2)
C (0.267, 0.000, 0.870) (multiplicity 2)
C (0.345, 0.000, 0.154) (multiplicity 2)
C (0.423, 0.500, 0.198) (multiplicity 2)
C (0.435, 0.500, 0.695) (multiplicity 2)

Properties
uncorrected energy: -7.78 eV per atom



No. 5
DFT (GGA-PBE) results for Pm4SbTe4 after structural relaxation.

a b c (Å): 14.827 4.471 10.964
angles (deg): 90.00 120.00 90.00
Space group C2/m (No. 12)
Symmetry-distinct sites (fractional):
Pm (0.098, 0.000, 0.401) (multiplicity 4)
Pm (0.200, 0.500, 0.803) (multiplicity 4)
Sb (0.000, 0.500, 0.500) (multiplicity 2)
Te (0.099, 0.000, 0.901) (multiplicity 4)
Te (0.196, 0.500, 0.295) (multiplicity 4)

Properties
energy relative to the elements, uncorrected: -1.41 eV/atom



No. 6
DFT (GGA-PBE) results for Tm3PuHg4 after structural relaxation.

a b c (Å): 3.659 3.659 15.052
angles (deg): 90.00 90.00 90.00
Space group P4/mmm (No. 123)
Symmetry-distinct sites (fractional):
Tm (0.000, 0.000, 0.000) (multiplicity 1)
Tm (0.000, 0.000, 0.245) (multiplicity 2)
Pu (0.000, 0.000, 0.500) (multiplicity 1)
Hg (0.500, 0.500, 0.123) (multiplicity 2)
Hg (0.500, 0.500, 0.362) (multiplicity 2)

Properties
uncorrected energy: -4.00 eV per atom



No. 7
DFT (GGA-PBE) results for NdTmRhI after structural relaxation.

a b c (Å): 4.0953 4.0953 24.0837
angles (deg): 90.00 90.00 120.00
Space group R3m (No. 160, hexagonal axes)
Symmetry-distinct sites (fractional):
Nd (0.0000, 0.0000, 0.0000) (multiplicity 3)
Tm (0.0000, 0.0000, 0.2118) (multiplicity 3)
Rh (0.0000, 0.0000, 0.6017) (multiplicity 3)
I (0.0000, 0.0000, 0.7750) (multiplicity 3)

Properties
energy relative to the elements, uncorrected: -0.93 eV/atom



No. 8
DFT (GGA-PBE) results for Ga3Hg2I3 after structural relaxation.

a b c (Å): 6.436 8.641 12.109
angles (deg): 88.07 84.83 68.14
Space group P-1 (No. 2)
Symmetry-distinct sites (fractional):
Ga (0.122, 0.259, 0.250) (multiplicity 2)
Ga (0.184, 0.023, 0.430) (multiplicity 2)
Ga (0.292, 0.023, 0.069) (multiplicity 2)
Hg (0.140, 0.515, 0.102) (multiplicity 2)
Hg (0.155, 0.485, 0.603) (multiplicity 2)
I (0.230, 0.789, 0.912) (multiplicity 2)
I (0.360, 0.780, 0.250) (multiplicity 2)
I (0.481, 0.789, 0.587) (multiplicity 2)

Properties
energy relative to the elements, uncorrected: -0.19 eV/atom



Number 1: magnetization 0.000 μB per formula unit. Number 2: magnetization 0.000 μB per formula unit. Number 3: magnetization 0.000 μB per formula unit. Number 4: magnetization 0.000 μB per formula unit. Number 5: magnetization 0.000 μB per formula unit. Number 6: magnetization 5.949 μB per formula unit. Number 7: magnetization 0.000 μB per formula unit. Number 8: magnetization 0.000 μB per formula unit.